SrNi2Br: relaxed, PBEsol.

Formation energy without anion corrections (eV per formula unit): 1.73
Total DFT energy (no corrections) (eV/atom): -3.57

a b c (Å): 4.6775 4.6775 4.6775
angles (deg): 60.00 60.00 60.00
Last column: nearest neighbours and their distance in Å.
Sites, in units of the cell vectors:
Sr 0.0000 0.0000 0.0000  8 Ni 2.86
Ni 0.2500 0.2500 0.2500  4 Br 2.86, 4 Sr 2.86
Ni 0.7500 0.7500 0.7500  4 Sr 2.86, 4 Br 2.86
Br 0.5000 0.5000 0.5000  8 Ni 2.86